Entry from Alexandria: CaTb14Pm after structural relaxation (PBE).

Calculated values
- Crystal system: orthorhombic
- ΔE_f: 30 meV per atom
- Size of the total moment: 0.00 μB per formula unit

Cell: 11.4027 7.3050 7.3050 Å, 59.94 90.00 90.00°
With the nearest neighbours (Å) after each atom.
Fractional positions:
Ca  0.0000  0.0000  0.0000  10 Tb 3.59-3.66, 2 Pm 3.65
Tb  0.0000  0.0018  0.4986  8 Tb 3.53-3.67, 2 Pm 3.63-3.67, 2 Ca 3.65-3.66
Tb  0.0000  0.4986  0.0018  8 Tb 3.53-3.67, 2 Pm 3.63-3.67, 2 Ca 3.65-3.66
Tb  0.2492  0.3334  0.3334  1 Pm 3.53, 11 Tb 3.53-3.66
Tb  0.2534  0.8313  0.8313  11 Tb 3.51-3.70, 1 Ca 3.59
Tb  0.2542  0.3378  0.8318  10 Tb 3.50-3.70, 1 Pm 3.58, 1 Ca 3.60
Tb  0.2542  0.8318  0.3378  10 Tb 3.50-3.70, 1 Pm 3.58, 1 Ca 3.60
Tb  0.5000  0.0003  0.0003  12 Tb 3.52-3.65
Tb  0.5000  0.0002  0.5000  12 Tb 3.50-3.66
Tb  0.5000  0.5000  0.0002  12 Tb 3.50-3.66
Tb  0.5000  0.5005  0.5005  12 Tb 3.50-3.66
Tb  0.7458  0.3378  0.8318  10 Tb 3.50-3.70, 1 Pm 3.58, 1 Ca 3.60
Tb  0.7458  0.8318  0.3378  10 Tb 3.50-3.70, 1 Pm 3.58, 1 Ca 3.60
Tb  0.7466  0.8313  0.8313  11 Tb 3.51-3.70, 1 Ca 3.59
Tb  0.7508  0.3334  0.3334  1 Pm 3.53, 11 Tb 3.53-3.66
Pm  0.0000  0.4991  0.4991  10 Tb 3.53-3.67, 2 Ca 3.65